Density functional theory data (GGA-PBE) for a relaxed structure of MnCr.

Structure (POSCAR):
```
MnCr
1.0
-1.472 6.279 2.565
-2.024 -2.911 5.967
3.719 0.297 1.407
Mn Cr
8 8
Cartesian
-0.549 0.755 1.293
-2.947 2.613 7.238
-1.642 4.880 3.310
-1.854 -1.512 5.221
-0.438 2.588 6.262
0.661 1.078 3.676
-0.058 0.433 5.714
0.282 3.232 4.224
-2.358 0.686 6.089
-1.138 2.682 2.442
-1.260 -0.232 3.380
-2.236 3.600 5.151
-0.222 5.430 5.092
0.445 -1.764 4.847
-1.148 1.601 8.349
1.372 2.065 1.589
```

Computed properties:
For the energy of formation, the calculation gives 0.396 eV/atom.


Density functional theory data (GGA-PBE) for a relaxed structure of Sc2FeP.

Structure (POSCAR):
```
Sc2FeP
1.0
-3.252 -4.035 1.821
0.390 -5.377 1.049
-0.301 -3.326 4.361
Sc Fe P
2 1 1
Cartesian
-3.074 -12.377 7.026
-2.466 -9.929 5.636
-1.737 -6.996 3.971
-0.631 -2.542 1.443
```

Computed properties:
For the energy of formation, the calculation gives -0.663 eV/atom.


> What is the energy of formation in the first record?

0.396 eV/atom


> energy of formation of number 1 (MnCr)?

0.396 eV/atom